Material: K2Bi12Au7
Method: DFT, PBE
State: optimized geometry

Cell lengths 12.3012, 12.3012, 4.6485 Å; angles 90.00, 90.00, 120.00 degrees
Last column: nearest neighbours and their distance in Å.
Positions (direct):
K  0.0000  0.0000  0.0000  6 Au 3.81, 9 Bi 3.88-4.22
K  0.3333  0.6667  0.5000  6 Au 3.79, 6 Bi 3.81
Bi  0.0443  0.2721  0.5000  4 Au 2.96-3.18
Bi  0.1085  0.7037  0.0000  4 Au 2.96-3.06
Bi  0.2278  0.9557  0.5000  4 Au 2.96-3.18
Bi  0.2963  0.4048  0.0000  4 Au 2.96-3.06
Bi  0.3960  0.1892  0.0000  4 Au 2.89-3.09
Bi  0.5389  0.4438  0.5000  5 Au 3.11-3.44
Bi  0.5562  0.0951  0.5000  5 Au 3.11-3.44
Bi  0.5952  0.8915  0.0000  4 Au 2.96-3.06
Bi  0.7279  0.7722  0.5000  4 Au 2.96-3.18
Bi  0.7932  0.6040  0.0000  4 Au 2.89-3.09
Bi  0.8108  0.2068  0.0000  4 Au 2.89-3.09
Bi  0.9049  0.4611  0.5000  5 Au 3.11-3.44
Au  0.0721  0.4472  0.0000  7 Bi 2.96-3.16
Au  0.2601  0.2285  0.5000  7 Bi 2.96-3.18
Au  0.3750  0.9279  0.0000  7 Bi 2.96-3.16
Au  0.5528  0.6250  0.0000  7 Bi 2.96-3.16
Au  0.6667  0.3333  0.0000  3 Bi 2.89
Au  0.7715  0.0316  0.5000  7 Bi 2.96-3.18
Au  0.9684  0.7399  0.5000  7 Bi 2.96-3.18

## Properties
M_tot: 0.00 μB per formula unit
N(E_F): 0.372 states/eV per atom
Calculated volume: 609 Å³/cell
ΔE_f: -210 kJ/mol of formula units

***

Material: Pa2Si4Pd5
Method: DFT, PBE
State: optimized geometry

Cell lengths 8.5346, 7.6072, 5.5954 Å; angles 78.94, 61.02, 40.05 degrees
Last column: nearest neighbours and their distance in Å.
Positions (direct):
Pa  0.1447  0.1447  0.8553  6 Si 3.11-3.24, 8 Pd 3.17-3.46
Pa  0.8553  0.8553  0.1447  6 Si 3.11-3.24, 8 Pd 3.17-3.46
Si  0.2304  0.4842  0.5158  3 Pd 2.35-2.39, 1 Si 2.44
Si  0.4842  0.2304  0.7696  3 Pd 2.35-2.39, 1 Si 2.44
Si  0.5158  0.7696  0.2304  3 Pd 2.35-2.39, 1 Si 2.44
Si  0.7696  0.5158  0.4842  3 Pd 2.35-2.39, 1 Si 2.44
Pd  0.0000  0.0000  0.5000  4 Si 2.74, 4 Pd 2.80-2.86
Pd  0.2500  0.2500  0.2500  4 Si 2.39
Pd  0.5000  0.5000  0.0000  4 Si 2.74, 4 Pd 2.80-2.86
Pd  0.5000  0.5000  0.5000  4 Si 2.35
Pd  0.7500  0.7500  0.7500  4 Si 2.39

## Properties
M_tot: 0.01 μB per formula unit
N(E_F): 0.961 states/eV per atom
Calculated volume: 194 Å³/cell
Formation energy without anion corrections: -0.5515 eV/atom

***

Which of these has the highest M_tot?
Pa2Si4Pd5

***

Which formula does entry 2 have?
Pa2Si4Pd5

***

Which value of calculated volume does entry 1 give?
609 Å³/cell

***

Among the records above, which one has the highest calculated volume?
K2Bi12Au7